No. 1
Material: YEr3Ag2
Method: DFT, PBE-GGA
State: relaxed

a b c (Å): 7.002 7.347 8.599
angles (deg): 115.29 114.03 90.00
Fractional positions:
Y1 0.000 0.500 0.000
Y2 0.000 0.000 0.000
Er1 0.500 0.250 0.000
Er2 0.500 0.750 0.000
Er3 0.771 0.021 0.542
Er4 0.229 0.479 0.458
Er5 0.229 0.979 0.458
Er6 0.771 0.521 0.542
Ag1 0.557 0.357 0.714
Ag2 0.843 0.143 0.286
Ag3 0.157 0.857 0.714
Ag4 0.443 0.643 0.286

Values from the calculation:
DFT formation energy in eV per atom: 0.023
Symmetry: Ibam, No. 72
Total magnetization in μB per formula unit: 0.000



No. 2
Material: Y2ErAg
Method: DFT, PBE-GGA
State: relaxed

a b c (Å): 3.766 5.408 5.408
angles (deg): 90.00 90.00 90.00
Fractional positions:
Y1 0.000 0.000 0.500
Y2 0.000 0.500 0.000
Ag1 0.500 0.000 0.000
Er1 0.500 0.500 0.500

Values from the calculation:
DFT formation energy in eV per atom: 0.000
Symmetry: P4/mmm, No. 123
Total magnetization in μB per formula unit: 0.000



No. 3
Material: YErAg2
Method: DFT, PBE-GGA
State: relaxed

a b c (Å): 5.128 5.128 5.128
angles (deg): 60.00 60.00 60.00
Fractional positions:
Y1 0.000 0.000 0.000
Ag1 0.750 0.750 0.750
Ag2 0.250 0.250 0.250
Er1 0.500 0.500 0.500

Values from the calculation:
DFT formation energy in eV per atom: -0.328
Symmetry: Fm-3m, No. 225
Total magnetization in μB per formula unit: 0.000



No. 4
Material: Y4ErAg
Method: DFT, PBE-GGA
State: relaxed

a b c (Å): 3.558 3.558 13.980
angles (deg): 90.00 90.00 90.00
Fractional positions:
Y1 0.500 0.500 0.822
Y2 0.500 0.500 0.178
Y3 0.000 0.000 0.637
Y4 0.000 0.000 0.363
Er1 0.000 0.000 0.000
Ag1 0.500 0.500 0.500

Values from the calculation:
DFT formation energy in eV per atom: -0.080
Symmetry: P4/mmm, No. 123
Total magnetization in μB per formula unit: 0.000



Computed values of distance to the lowest polymorph of the same formula (unit: eV/atom) for the preceding records, in sequence: 0.231, 0.130, 0.004, 0.000.